Record 1
Entry from the Alexandria database: a relaxed structure of Na2Cd2Pt3 (GGA-PBE).

For the formation energy from the elements, the calculation gives -252 meV/atom. The calculation puts the total moment at 0.00 μB per formula unit. As for the mass density: 9.31 g/cm3. Its crystal system is monoclinic.

The structure belongs to space group C2/m (No. 12); the cell edges are 11.604, 4.554 and 7.406 Å and the angles 90.00°, 128.70° and 90.00°. The inequivalent atoms are Na at (0.171, 0.000, 0.273), Cd at (0.135, 0.000, 0.776), Pt at (0.000, 0.500, 0.500) and Pt at (0.061, 0.500, 0.906).



Record 2
Entry from the Alexandria database: a relaxed structure of NaCd3Pt (GGA-PBE).

For the formation energy from the elements, the calculation gives 935 meV/atom. The calculation puts the total moment at 0.00 μB per formula unit. As for the mass density: 7.03 g/cm3. Its crystal system is cubic.

The structure belongs to space group Pm-3m (No. 221); the cell edges are 5.081, 5.081 and 5.081 Å and the angles 90.00°, 90.00° and 90.00°. The inequivalent atoms are Na at (0.000, 0.000, 0.000), Cd at (0.000, 0.000, 0.500) and Pt at (0.500, 0.500, 0.500).